TbSmI2O2: relaxed, GGA-PBE.

Cell: 3.972 3.972 9.153 Å, 90.00 90.00 90.00°
Space group P4mm (No. 99)
Symmetry-distinct sites (fractional):
Tb: 0.000 0.000 0.000
Sm: 0.500 0.500 0.247
I: 0.000 0.000 0.453
I: 0.500 0.500 0.794
O: 0.000 0.500 0.119

Results
size of the total moment	0.0	μB/cell
final energy	-38.56	eV per formula unit